! CaFeOs, optimized geometry, DFT PBE-GGA; values from VASP
&SYSTEM
  ibrav = 0, nat = 6, ntyp = 3
/
ATOMIC_SPECIES
Ca 40.08 Ca.upf
Fe 55.84 Fe.upf
Os 190.23 Os.upf
CELL_PARAMETERS angstrom
4.976 -2.068 0.000
4.976 2.068 0.000
-4.769 0.000 5.278
ATOMIC_POSITIONS crystal
Ca 0.073 0.073 0.334
Ca 0.927 0.927 0.666
Fe 0.317 0.317 0.235
Fe 0.683 0.683 0.765
Os 0.341 0.341 0.933
Os 0.659 0.659 0.067
! Magnetization = 0.0000 μB/atom
! Polymorph energy (0 for the lowest one) = 102 meV/atom
! Calculated formation energy = 23.1 kJ per mole of atoms
! E = -6.9918 eV/atom
! Symmetry = No. 12
! Crystal system = monoclinic
! D(E_F) = 0.7565 states/eV per atom



! CsPa2Cl2O5, optimized geometry, DFT PBE-GGA; values from VASP
&SYSTEM
  ibrav = 0, nat = 20, ntyp = 4
/
ATOMIC_SPECIES
Cs 132.91 Cs.upf
Pa 231.04 Pa.upf
Cl 35.45 Cl.upf
O 16.00 O.upf
CELL_PARAMETERS angstrom
10.526 0.000 0.000
0.000 10.526 0.000
0.000 0.000 3.350
ATOMIC_POSITIONS crystal
Cs 0.000 0.000 0.000
Cs 0.500 0.500 0.000
Pa 0.131 0.369 0.000
Pa 0.369 0.869 0.000
Pa 0.631 0.131 0.000
Pa 0.869 0.631 0.000
Cl 0.165 0.665 0.000
Cl 0.335 0.165 0.000
Cl 0.665 0.835 0.000
Cl 0.835 0.335 0.000
O 0.000 0.500 0.500
O 0.078 0.251 0.500
O 0.249 0.422 0.500
O 0.251 0.922 0.500
O 0.422 0.751 0.500
O 0.500 0.000 0.500
O 0.578 0.249 0.500
O 0.749 0.078 0.500
O 0.751 0.578 0.500
O 0.922 0.749 0.500
! Magnetization = 0.0994 μB/atom
! Formation energy (no corrections) = -25.5 eV/f.u.
! E = -7.3843 eV/atom
! Symmetry = No. 127
! Crystal system = tetragonal
! D(E_F) = 0.3803 states/eV per atom



! Tl2RhAu, optimized geometry, DFT PBE-GGA; values from VASP
&SYSTEM
  ibrav = 0, nat = 4, ntyp = 3
/
ATOMIC_SPECIES
Tl 204.38 Tl.upf
Rh 102.91 Rh.upf
Au 196.97 Au.upf
CELL_PARAMETERS angstrom
0.000 3.473 3.473
3.473 0.000 3.473
3.473 3.473 0.000
ATOMIC_POSITIONS crystal
Tl 0.000 0.000 0.000
Tl 0.250 0.250 0.250
Rh 0.750 0.750 0.750
Au 0.500 0.500 0.500
! Magnetization = 0.0001 μB/atom
! Calculated formation energy = 30.1 kJ per mole of atoms
! E = -3.5280 eV/atom
! Symmetry = No. 216
! Crystal system = cubic
! D(E_F) = 1.2914 states/eV per atom



What is the formula in the second record?
CsPa2Cl2O5



What is the formula in the third record?
Tl2RhAu



The lowest E belongs to which entry?
CsPa2Cl2O5



Which of these has the lowest magnetization?
CaFeOs